No. 1
This record from Alexandria via LeMat-Bulk describes crystalline PrWO4 at its relaxed geometry. The functional is GGA+U.

Unit cell a=7.6102 b=7.6102 c=6.8974 alpha=90.00 beta=90.00 gamma=90.00
Closest atoms and distances in Å follow each position.
Space group I4_1/amd (No. 141, origin choice 2)
Inequivalent atoms, fractional coordinates:
1 Pr 0.0000 0.2500 0.3750 [4 per cell]  8 O 2.43-2.63
2 W 0.0000 0.2500 0.8750 [4 per cell]  4 O 1.89
3 O 0.0000 0.0633 0.6954 [16 per cell]  1 W 1.89

## Properties
Uncorrected energy ... -186.77 eV per cell
Magnetic moment ... 4.000 Bohr magnetons per cell

***

No. 2
This record from Alexandria via LeMat-Bulk describes crystalline Pr2W3O12 at its relaxed geometry. The functional is GGA+U.

Unit cell a=7.9999 b=11.8425 c=11.7636 alpha=90.00 beta=109.64 gamma=90.00
Closest atoms and distances in Å follow each position.
Space group C2/c (No. 15)
Inequivalent atoms, fractional coordinates:
1 Pr 0.1638 0.1235 0.0947 [8 per cell]  8 O 2.41-2.57
2 W 0.0000 0.1340 0.7500 [4 per cell]  4 O 1.80-1.85
3 W 0.1429 0.3964 0.5462 [8 per cell]  4 O 1.78-1.95
4 O 0.0535 0.2857 0.4402 [8 per cell]  1 W 1.78
5 O 0.0651 0.4623 0.9288 [8 per cell]  2 W 1.95-2.13
6 O 0.1282 0.2099 0.8894 [8 per cell]  1 W 1.85
7 O 0.1387 0.0518 0.4614 [8 per cell]  1 W 1.88
8 O 0.1603 0.0451 0.7177 [8 per cell]  1 W 1.80
9 O 0.2163 0.3279 0.6941 [8 per cell]  1 W 1.83

## Properties
Uncorrected energy ... -530.00 eV per cell
N(E_F) ... 0.00 states/eV/cell
Magnetic moment ... 0.000 Bohr magnetons per cell

***

No. 3
This record from Alexandria via LeMat-Bulk describes crystalline PrW5O15 at its relaxed geometry. The functional is GGA+U.

Unit cell a=3.8528 b=7.4448 c=10.2545 alpha=90.00 beta=90.00 gamma=90.00
Closest atoms and distances in Å follow each position.
Space group Pmmm (No. 47)
Inequivalent atoms, fractional coordinates:
1 Pr 0.0000 0.0000 0.0000 [1 per cell]  12 O 3.08-3.23
2 W 0.5000 0.2460 0.3168 [4 per cell]  6 O 1.92-2.03
3 W 0.5000 0.5000 0.0000 [1 per cell]  6 O 1.93-1.94
4 O 0.0000 0.2379 0.3109 [4 per cell]  2 W 1.93
5 O 0.0000 0.5000 0.0000 [1 per cell]  2 W 1.93
6 O 0.5000 0.0000 0.2345 [2 per cell]  2 W 2.02
7 O 0.5000 0.1916 0.5000 [2 per cell]  2 W 1.92
8 O 0.5000 0.3029 0.1236 [4 per cell]  2 W 1.94-2.03
9 O 0.5000 0.5000 0.3510 [2 per cell]  2 W 1.92

## Properties
Uncorrected energy ... -156.93 eV per cell
N(E_F) ... 1.60 states/eV/cell
Magnetic moment ... 2.604 Bohr magnetons per cell

***

No. 4
This record from Alexandria via LeMat-Bulk describes crystalline PrWO5 at its relaxed geometry. The functional is GGA+U.

Unit cell a=5.4759 b=13.1257 c=7.3133 alpha=90.00 beta=116.53 gamma=90.00
Closest atoms and distances in Å follow each position.
Space group P2_1/c (No. 14)
Inequivalent atoms, fractional coordinates:
1 Pr 0.1365 0.0555 0.2881 [4 per cell]  8 O 2.38-2.65
2 W 0.3679 0.1387 0.8560 [4 per cell]  4 O 1.80-1.97
3 O 0.0552 0.0942 0.5852 [4 per cell]  1 W 2.04, 1 O 2.21
4 O 0.1431 0.0845 0.9603 [4 per cell]  1 W 1.86
5 O 0.3061 0.6231 0.4172 [4 per cell]  1 W 1.83
6 O 0.3231 0.2257 0.3238 [4 per cell]  1 W 1.80
7 O 0.4931 0.0655 0.6784 [4 per cell]  1 W 1.97

## Properties
Uncorrected energy ... -210.76 eV per cell
Magnetic moment ... 4.250 Bohr magnetons per cell
Relative energy among the computed polymorphs ... 0.05 eV/f.u.

***

No. 5
This record from Alexandria via LeMat-Bulk describes crystalline PrWO5 at its relaxed geometry. The functional is GGA+U.

Unit cell a=9.3290 b=6.6992 c=7.7931 alpha=90.00 beta=114.32 gamma=90.00
Closest atoms and distances in Å follow each position.
Space group C2/c (No. 15)
Inequivalent atoms, fractional coordinates:
1 Pr 0.0000 0.0523 0.2500 [4 per cell]  7 O 2.37-2.56
2 W 0.0000 0.5000 0.0000 [4 per cell]  6 O 1.90-2.00
3 O 0.0000 0.4340 0.2500 [4 per cell]  2 W 2.00
4 O 0.0070 0.2153 0.9649 [8 per cell]  1 W 1.93
5 O 0.2233 0.4877 0.6118 [8 per cell]  1 W 1.90

## Properties
Uncorrected energy ... -210.97 eV per cell
N(E_F) ... 8.15 states/eV/cell
Magnetic moment ... 4.106 Bohr magnetons per cell
Relative energy among the computed polymorphs ... 0.00 eV/f.u.

***

No. 6
This record from Alexandria via LeMat-Bulk describes crystalline Pr5W2O12 at its relaxed geometry. The functional is GGA+U.

Unit cell a=12.9634 b=5.9445 c=7.9506 alpha=90.00 beta=107.94 gamma=90.00
Closest atoms and distances in Å follow each position.
Space group C2/m (No. 12)
Inequivalent atoms, fractional coordinates:
1 Pr 0.0000 0.0000 0.0000 [2 per cell]  6 O 2.39-2.44
2 Pr 0.1876 0.5000 0.3274 [4 per cell]  7 O 2.40-2.60
3 Pr 0.1926 0.5000 0.8586 [4 per cell]  7 O 2.39-2.59
4 W 0.0000 0.2173 0.5000 [4 per cell]  6 O 1.97-2.15
5 O 0.9997 0.5000 0.3305 [4 per cell]  2 W 2.15
6 O 0.0007 0.0000 0.7001 [4 per cell]  2 W 2.05
7 O 0.1563 0.2520 0.0778 [8 per cell]  4 Pr 2.39-2.44
8 O 0.1592 0.2519 0.5787 [8 per cell]  1 W 1.97

## Properties
Uncorrected energy ... -306.46 eV per cell
Magnetic moment ... 2.000 Bohr magnetons per cell

***

No. 7
This record from Alexandria via LeMat-Bulk describes crystalline PrW4O12 at its relaxed geometry. The functional is GGA+U.

Unit cell a=7.8556 b=7.8616 c=7.8799 alpha=90.00 beta=90.00 gamma=90.00
Closest atoms and distances in Å follow each position.
Space group Immm (No. 71)
Inequivalent atoms, fractional coordinates:
1 Pr 0.0000 0.0000 0.0000 [2 per cell]  12 O 2.64-2.72
2 W 0.2500 0.2500 0.2500 [8 per cell]  6 O 1.97
3 O 0.0000 0.2433 0.2450 [8 per cell]  2 W 1.97
4 O 0.2368 0.0000 0.2455 [8 per cell]  2 W 1.97
5 O 0.2381 0.2376 0.0000 [8 per cell]  2 W 1.97

## Properties
Uncorrected energy ... -260.09 eV per cell
N(E_F) ... 2.55 states/eV/cell
Magnetic moment ... 5.882 Bohr magnetons per cell

***

No. 8
This record from Alexandria via LeMat-Bulk describes crystalline Pr2WO6 at its relaxed geometry. The functional is GGA+U.

Unit cell a=16.8568 b=11.6047 c=5.6365 alpha=90.00 beta=107.27 gamma=90.00
Closest atoms and distances in Å follow each position.
Space group C2/c (No. 15)
Inequivalent atoms, fractional coordinates:
1 Pr 0.0000 0.1083 0.2500 [4 per cell]  6 O 2.34-2.48
2 Pr 0.0000 0.3704 0.7500 [4 per cell]  8 O 2.41-2.56
3 Pr 0.1757 0.1142 0.8861 [8 per cell]  6 O 2.32-2.58
4 W 0.1522 0.3499 0.4362 [8 per cell]  4 O 1.85-1.90
5 O 0.0796 0.2401 0.5782 [8 per cell]  1 W 2.08
6 O 0.0803 0.4624 0.4788 [8 per cell]  1 W 1.85
7 O 0.0925 0.0140 0.0772 [8 per cell]  4 Pr 2.32-2.48
8 O 0.1034 0.2807 0.1262 [8 per cell]  1 W 1.88
9 O 0.2302 0.4460 0.3600 [8 per cell]  1 W 1.87
10 O 0.2325 0.2954 0.7265 [8 per cell]  1 W 1.90

## Properties
Uncorrected energy ... -578.52 eV per cell
N(E_F) ... 0.00 states/eV/cell
Magnetic moment ... 0.000 Bohr magnetons per cell

***

No. 9
This record from Alexandria via LeMat-Bulk describes crystalline Pr2WO6 at its relaxed geometry. The functional is GGA+U.

Unit cell a=5.6678 b=6.0620 c=9.5392 alpha=90.00 beta=120.27 gamma=90.00
Closest atoms and distances in Å follow each position.
Space group P2_1/c (No. 14)
Inequivalent atoms, fractional coordinates:
1 Pr 0.1974 0.0750 0.2377 [4 per cell]  6 O 2.37-2.63
2 W 0.5000 0.0000 0.0000 [2 per cell]  6 O 1.94-1.97
3 O 0.1741 0.1693 0.9530 [4 per cell]  1 W 1.96
4 O 0.2583 0.7440 0.8988 [4 per cell]  1 W 1.97
5 O 0.4501 0.0890 0.7915 [4 per cell]  1 W 1.94

## Properties
Uncorrected energy ... -144.18 eV per cell
N(E_F) ... 0.00 states/eV/cell
Magnetic moment ... 0.000 Bohr magnetons per cell

***

No. 10
This record from Alexandria via LeMat-Bulk describes crystalline Pr3WO7 at its relaxed geometry. The functional is GGA+U.

Unit cell a=7.8082 b=10.9908 c=7.7784 alpha=90.00 beta=90.00 gamma=90.00
Closest atoms and distances in Å follow each position.
Space group C222_1 (No. 20)
Inequivalent atoms, fractional coordinates:
1 Pr 0.0186 0.0000 0.0000 [4 per cell]  6 O 2.42-2.59
2 Pr 0.2329 0.2674 0.7536 [8 per cell]  7 O 2.33-2.59
3 W 0.9999 0.5000 0.0000 [4 per cell]  6 O 1.99-2.07
4 O 0.0000 0.1306 0.2500 [4 per cell]  4 Pr 2.37-2.42
5 O 0.0000 0.1347 0.7500 [4 per cell]  4 Pr 2.33-2.45
6 O 0.0000 0.4353 0.7500 [4 per cell]  2 W 2.07
7 O 0.1847 0.3777 0.0311 [8 per cell]  1 W 1.99
8 O 0.1968 0.3807 0.4749 [8 per cell]  1 W 2.03

## Properties
Uncorrected energy ... -357.60 eV per cell
N(E_F) ... 0.00 states/eV/cell
Magnetic moment ... 4.000 Bohr magnetons per cell

***

No. 11
This record from Alexandria via LeMat-Bulk describes crystalline PrY2WO8 at its relaxed geometry. The functional is GGA+U.

Unit cell a=7.1321 b=7.1970 c=7.0268 alpha=90.00 beta=90.00 gamma=90.00
Closest atoms and distances in Å follow each position.
Space group Cmmm (No. 65)
Inequivalent atoms, fractional coordinates:
1 Pr 0.0000 0.0000 0.0000 [2 per cell]  6 O 2.28-2.46
2 Y 0.0000 0.5000 0.2600 [4 per cell]  6 O 2.23-2.32
3 W 0.0000 0.0000 0.5000 [2 per cell]  6 O 1.96-1.97
4 O 0.0000 0.1845 0.2956 [8 per cell]  1 W 1.96
5 O 0.1803 0.5000 0.0000 [4 per cell]  2 Y 2.23, 1 Pr 2.28
6 O 0.2239 0.5000 0.5000 [4 per cell]  1 W 1.97

## Properties
Uncorrected energy ... -196.23 eV per cell
N(E_F) ... 8.78 states/eV/cell
Magnetic moment ... 1.817 Bohr magnetons per cell

***

No. 12
This record from Alexandria via LeMat-Bulk describes crystalline PrZnW2O6 at its relaxed geometry. The functional is GGA+U.

Unit cell a=5.5377 b=5.8751 c=9.9006 alpha=90.00 beta=123.77 gamma=90.00
Closest atoms and distances in Å follow each position.
Space group Pc (No. 7)
Inequivalent atoms, fractional coordinates:
1 Pr 0.0000 0.1986 0.0000 [2 per cell]  4 O 2.32-2.58
2 Zn 0.4981 0.1361 0.4959 [2 per cell]  3 O 1.96-2.03
3 W 0.2211 0.2684 0.7454 [2 per cell]  6 O 2.00-2.15
4 W 0.7274 0.2605 0.2510 [2 per cell]  6 O 2.13-2.25
5 O 0.0992 0.0424 0.3063 [2 per cell]  1 Zn 2.02, 2 W 2.15-2.22
6 O 0.3517 0.4445 0.1953 [2 per cell]  2 W 2.00-2.13
7 O 0.4544 0.0567 0.6805 [2 per cell]  1 Zn 2.03, 2 W 2.13-2.25
8 O 0.5793 0.2421 0.9951 [2 per cell]  2 W 2.15-2.19, 1 Zn 2.27, 1 Pr 2.32
9 O 0.8482 0.2155 0.5020 [2 per cell]  1 Zn 1.96, 1 W 2.15
10 O 0.9834 0.4399 0.8101 [2 per cell]  2 W 2.02-2.13

## Properties
Uncorrected energy ... -141.99 eV per cell
Magnetic moment ... 10.000 Bohr magnetons per cell